VASP calculation (GGA-PBE) on a relaxed Pm2Pr5Ho crystal.

Cell: 14.724 14.724 6.688 Å, 94.11 94.11 155.13°
Atoms (fractional coordinates):
1 Pm 0.000 0.000 0.000
2 Pm 0.000 0.000 0.500
3 Pm 0.000 0.500 0.000
4 Pm 0.500 0.000 0.500
5 Pr 0.071 0.453 0.505
6 Pr 0.096 0.904 0.750
7 Pr 0.190 0.409 0.912
8 Pr 0.409 0.190 0.412
9 Pr 0.453 0.071 0.005
10 Pr 0.547 0.929 0.995
11 Pr 0.591 0.810 0.588
12 Pr 0.810 0.591 0.088
13 Pr 0.904 0.096 0.250
14 Pr 0.929 0.547 0.495
15 Ho 0.489 0.511 0.250
16 Ho 0.511 0.489 0.750

## Properties
The value obtained for the density is 6.695 g/cm³. For the energy relative to the elements, the calculation gives 0.205 eV/atom. The excess energy over the best structure of this formula in the dataset comes out at 0.190 eV per atom. The value obtained for the electronic total energy is -4.54 eV/atom.



VASP calculation (GGA-PBE) on a relaxed PmPr7Ho2 crystal.

Cell: 9.337 9.337 5.773 Å, 90.00 90.00 122.28°
Atoms (fractional coordinates):
1 Pm 0.000 0.000 0.000
2 Pr 0.064 0.296 0.500
3 Pr 0.228 0.772 0.000
4 Pr 0.296 0.064 0.500
5 Pr 0.500 0.500 0.500
6 Pr 0.704 0.936 0.500
7 Pr 0.772 0.228 0.000
8 Pr 0.936 0.704 0.500
9 Ho 0.296 0.704 0.500
10 Ho 0.704 0.296 0.500

## Properties
The value obtained for the density is 5.703 g/cm³. For the energy relative to the elements, the calculation gives 0.625 eV/atom. The excess energy over the best structure of this formula in the dataset comes out at 0.396 eV per atom. The value obtained for the electronic total energy is -4.11 eV/atom.



VASP calculation (GGA-PBE) on a relaxed Pm12PrHo5 crystal.

Cell: 10.854 10.854 6.262 Å, 106.59 106.59 59.99°
Atoms (fractional coordinates):
1 Pm 0.001 0.332 0.499
2 Pm 0.164 0.836 0.000
3 Pm 0.166 0.499 0.000
4 Pm 0.332 0.001 0.499
5 Pm 0.333 0.667 0.500
6 Pm 0.499 0.166 0.000
7 Pm 0.501 0.834 0.000
8 Pm 0.667 0.333 0.500
9 Pm 0.668 0.999 0.501
10 Pm 0.834 0.501 0.000
11 Pm 0.836 0.164 0.000
12 Pm 0.999 0.668 0.501
13 Pr 0.500 0.500 0.000
14 Ho 0.000 0.000 0.500
15 Ho 0.167 0.167 0.999
16 Ho 0.332 0.332 0.497
17 Ho 0.668 0.668 0.503
18 Ho 0.833 0.833 0.001

## Properties
The value obtained for the density is 7.450 g/cm³. For the energy relative to the elements, the calculation gives 0.016 eV/atom. The value obtained for the electronic total energy is -4.69 eV/atom.



VASP calculation (GGA-PBE) on a relaxed Pm8Pr3Ho crystal.

Cell: 8.529 8.529 8.529 Å, 117.38 117.38 94.61°
Atoms (fractional coordinates):
1 Pm 0.129 0.129 0.752
2 Pm 0.246 0.739 0.000
3 Pm 0.261 0.261 0.507
4 Pm 0.376 0.376 0.248
5 Pm 0.624 0.871 0.000
6 Pm 0.739 0.246 0.000
7 Pm 0.754 0.754 0.493
8 Pm 0.871 0.624 0.000
9 Pr 0.000 0.000 0.000
10 Pr 0.250 0.750 0.500
11 Pr 0.750 0.250 0.500
12 Ho 0.500 0.500 0.000

## Properties
The value obtained for the density is 6.384 g/cm³. For the energy relative to the elements, the calculation gives 0.553 eV/atom. The value obtained for the electronic total energy is -4.19 eV/atom.



VASP calculation (GGA-PBE) on a relaxed Pm3Pr8Ho4 crystal.

Cell: 9.316 9.316 6.940 Å, 110.76 110.76 83.07°
Atoms (fractional coordinates):
1 Pm 0.000 0.000 0.000
2 Pm 0.000 0.500 0.500
3 Pm 0.500 0.000 0.500
4 Pr 0.204 0.204 0.674
5 Pr 0.206 0.794 0.500
6 Pr 0.254 0.746 0.000
7 Pr 0.256 0.256 0.206
8 Pr 0.744 0.744 0.794
9 Pr 0.746 0.254 0.000
10 Pr 0.794 0.206 0.500
11 Pr 0.796 0.796 0.326
12 Ho 0.000 0.500 0.000
13 Ho 0.500 0.000 0.000
14 Ho 0.500 0.500 0.000
15 Ho 0.500 0.500 0.500

## Properties
The value obtained for the density is 7.006 g/cm³. For the energy relative to the elements, the calculation gives 0.320 eV/atom. The value obtained for the electronic total energy is -4.40 eV/atom.



VASP calculation (GGA-PBE) on a relaxed Pm3PrHo6 crystal.

Cell: 6.917 6.917 6.917 Å, 91.61 91.61 91.61°
Atoms (fractional coordinates):
1 Pm 0.000 0.000 0.000
2 Pm 0.248 0.248 0.248
3 Pm 0.496 0.496 0.496
4 Pr 0.748 0.748 0.748
5 Ho 0.077 0.422 0.750
6 Ho 0.250 0.923 0.576
7 Ho 0.422 0.750 0.077
8 Ho 0.576 0.250 0.923
9 Ho 0.750 0.077 0.422
10 Ho 0.923 0.576 0.250

## Properties
The value obtained for the density is 7.865 g/cm³. For the energy relative to the elements, the calculation gives 0.290 eV/atom. The excess energy over the best structure of this formula in the dataset comes out at 0.141 eV per atom. The value obtained for the electronic total energy is -4.36 eV/atom.